1.
A plane-wave DFT calculation with PBE was carried out for crystalline Ta2SnGe2 at its relaxed geometry.

abc: 7.3699 7.3699 3.4092
angles: 90.00 90.00 90.00
Last column: nearest neighbours and their distance in Å.
Fractional positions:
1 Ge 0.1348 0.3652 0.0000  6 Ta 2.73-2.78, 1 Ge 2.81, 2 Sn 2.87
2 Ge 0.6348 0.1348 0.0000  6 Ta 2.73-2.78, 1 Ge 2.81, 2 Sn 2.87
3 Ge 0.3652 0.8652 0.0000  6 Ta 2.73-2.78, 1 Ge 2.81, 2 Sn 2.87
4 Ge 0.8652 0.6348 0.0000  6 Ta 2.73-2.78, 1 Ge 2.81, 2 Sn 2.87
5 Sn 0.5000 0.5000 0.0000  4 Ge 2.87
6 Sn 0.0000 0.0000 0.0000  4 Ge 2.87
7 Ta 0.6541 0.8459 0.5000  6 Ge 2.73-2.78
8 Ta 0.8459 0.3459 0.5000  6 Ge 2.73-2.78
9 Ta 0.3459 0.1541 0.5000  6 Ge 2.73-2.78
10 Ta 0.1541 0.6541 0.5000  6 Ge 2.73-2.78

Results
ΔE to the lowest computed polymorph   178.9 meV/atom
E_form   200 meV/atom
Electronic total energy   -7.189 eV/atom



2.
A plane-wave DFT calculation with PBE was carried out for crystalline CaTaAs3 at its relaxed geometry.

abc: 5.0342 5.0342 5.0342
angles: 90.00 90.00 90.00
Last column: nearest neighbours and their distance in Å.
Fractional positions:
1 As 0.0000 0.0000 0.5000  2 Ta 2.52
2 As 0.5000 0.0000 0.0000  2 Ta 2.52
3 As 0.0000 0.5000 0.0000  2 Ta 2.52
4 Ca 0.5000 0.5000 0.5000  12 As 3.56
5 Ta 0.0000 0.0000 0.0000  6 As 2.52

Results
ΔE to the lowest computed polymorph   0.0 meV/atom
E_form   -283 meV/atom
Electronic total energy   -5.844 eV/atom



3.
A plane-wave DFT calculation with PBE was carried out for crystalline Cu at its relaxed geometry.

abc: 3.7710 3.7710 3.7710
angles: 60.00 60.00 60.00
Last column: nearest neighbours and their distance in Å.
Fractional positions:
1 Cu 0.0000 0.0000 0.0000  4 Cu 2.31
2 Cu 0.7500 0.7500 0.7500  4 Cu 2.31

Results
ΔE to the lowest computed polymorph   1029.5 meV/atom
E_form   1029 meV/atom
Electronic total energy   -3.067 eV/atom



4.
A plane-wave DFT calculation with PBE was carried out for crystalline GdTmMnZn at its relaxed geometry.

abc: 4.9969 4.9969 4.9969
angles: 60.00 60.00 60.00
Last column: nearest neighbours and their distance in Å.
Fractional positions:
1 Zn 0.2500 0.2500 0.2500  4 Gd 3.06, 4 Tm 3.06
2 Gd 0.0000 0.0000 0.0000  4 Mn 3.06, 4 Zn 3.06
3 Tm 0.5000 0.5000 0.5000  4 Mn 3.06, 4 Zn 3.06
4 Mn 0.7500 0.7500 0.7500  4 Gd 3.06, 4 Tm 3.06

Results
E_form   -59 meV/atom
Electronic total energy   -7.308 eV/atom



5.
A plane-wave DFT calculation with PBE was carried out for crystalline Cu2SeClF at its relaxed geometry.

abc: 3.9689 6.0028 3.9689
angles: 90.00 90.00 90.00
Last column: nearest neighbours and their distance in Å.
Fractional positions:
1 Se 0.0000 0.5000 0.0000  4 Cl 2.81, 2 F 3.00
2 Cu 0.0000 0.0000 0.5000  2 F 1.98
3 Cu 0.5000 0.0000 0.0000  2 F 1.98
4 F 0.0000 0.0000 0.0000  4 Cu 1.98
5 Cl 0.5000 0.5000 0.5000  4 Se 2.81

Results
Raw formation energy   0.71 eV per formula unit
Electronic total energy   -2.937 eV/atom



6.
A plane-wave DFT calculation with PBE was carried out for crystalline Li2MgTc at its relaxed geometry.

abc: 6.9781 6.9781 5.6015
angles: 51.47 51.47 90.00
Last column: nearest neighbours and their distance in Å.
Fractional positions:
1 Tc 0.0000 0.0000 0.0000  4 Li 2.53, 2 Mg 2.65
2 Tc 0.7500 0.2500 0.5000  4 Li 2.53, 2 Mg 2.65
3 Mg 0.2500 0.7500 0.5000  4 Li 2.58, 2 Tc 2.65
4 Mg 0.5000 0.5000 0.0000  4 Li 2.58, 2 Tc 2.65
5 Li 0.1207 0.6250 0.2500  2 Tc 2.53, 2 Mg 2.58, 2 Li 2.65
6 Li 0.3750 0.3707 0.7500  2 Tc 2.53, 2 Mg 2.58, 2 Li 2.65
7 Li 0.6293 0.1250 0.2500  2 Tc 2.53, 2 Mg 2.58, 2 Li 2.65
8 Li 0.8750 0.8793 0.7500  2 Tc 2.53, 2 Mg 2.58, 2 Li 2.65

Results
E_form   698 meV/atom
Electronic total energy   -3.249 eV/atom



7.
A plane-wave DFT calculation with PBE was carried out for crystalline CeTm2B6 at its relaxed geometry.

abc: 3.8959 5.6344 5.6344
angles: 120.00 90.00 90.00
Last column: nearest neighbours and their distance in Å.
Fractional positions:
1 Ce 0.0000 0.0000 0.0000  12 B 2.71
2 B 0.5000 0.3352 0.3351  3 B 1.86-1.89
3 B 0.5000 0.6649 0.0000  3 B 1.86-1.89
4 B 0.5000 0.6649 0.6649  3 B 1.86-1.89
5 B 0.5000 0.0000 0.3351  3 B 1.86-1.89
6 B 0.5000 0.0000 0.6649  3 B 1.86-1.89
7 B 0.5000 0.3352 0.0000  3 B 1.86-1.89
8 Tm 0.0000 0.3333 0.6667  12 B 2.70
9 Tm 0.0000 0.6667 0.3333  12 B 2.70

Results
E_form   -547 meV/atom
Electronic total energy   -6.652 eV/atom



8.
A plane-wave DFT calculation with PBE was carried out for crystalline RuS2BrCl at its relaxed geometry.

abc: 4.8685 4.8685 5.0403
angles: 90.00 90.00 90.00
Last column: nearest neighbours and their distance in Å.
Fractional positions:
1 S 0.0000 0.5000 0.0000  2 Br 2.43
2 S 0.5000 0.0000 0.0000  2 Br 2.43
3 Cl 0.0000 0.0000 0.5000  2 Br 2.52
4 Ru 0.5000 0.5000 0.5000  4 Cl 3.44, 8 S 3.50
5 Br 0.0000 0.0000 0.0000  4 S 2.43, 2 Cl 2.52

Results
ΔE to the lowest computed polymorph   1162.8 meV/atom
Raw formation energy   7.33 eV per formula unit
Electronic total energy   -2.744 eV/atom



Number 1: total moment 0.0 μB per cell. Number 2: total moment 0.0 μB per cell. Number 3: total moment 0.0 μB per cell. Number 4: total moment 4.2 μB per cell. Number 5: total moment 0.0 μB per cell. Number 6: total moment 2.0 μB per cell. Number 7: total moment 0.0 μB per cell. Number 8: total moment 3.6 μB per cell.